1.
{
  "formula": "CdRhW2",
  "functional": "PBEsol",
  "state": "optimized geometry",
  "crystal_system": "orthorhombic",
  "ef_kj_per_mol_atoms": 44,
  "total_energy_ev_per_atom": -8.783,
  "vol_a3_per_atom": 16.25,
  "lattice": [[-1.4845, 2.3777, 4.6035], [1.4845, -2.3777, 4.6035], [1.4845, 2.3777, -4.6035]],
  "species": ["Cd", "Rh", "W", "W"],
  "fractional_positions": [[0.0000, 0.0000, 0.0000], [0.2629, 0.7629, 0.5000], [0.4944, 0.4944, 0.0000], [0.7173, 0.2173, 0.5000]]
}


2.
{
  "formula": "LiPtC2",
  "functional": "PBEsol",
  "state": "optimized geometry",
  "crystal_system": "tetragonal",
  "ef_kj_per_mol_atoms": 111,
  "total_energy_ev_per_atom": -5.906,
  "vol_a3_per_atom": 13.65,
  "lattice": [[-2.4594, 2.4594, 4.5120], [2.4594, -2.4594, 4.5120], [2.4594, 2.4594, -4.5120]],
  "species": ["Li", "Li", "Pt", "Pt", "C", "C", "C", "C"],
  "fractional_positions": [[0.0000, 0.0000, 0.0000], [0.7500, 0.2500, 0.5000], [0.2500, 0.7500, 0.5000], [0.5000, 0.5000, 0.0000], [0.1806, 0.6250, 0.0556], [0.3750, 0.4306, 0.5556], [0.5694, 0.1250, 0.9444], [0.8750, 0.8194, 0.4444]]
}


3.
{
  "formula": "RbTl2Cd",
  "functional": "PBEsol",
  "state": "optimized geometry",
  "crystal_system": "cubic",
  "ef_kj_per_mol_atoms": 5,
  "total_energy_ev_per_atom": -1.815,
  "vol_a3_per_atom": 29.49,
  "lattice": [[0.0000, 3.8924, 3.8924], [3.8924, 0.0000, 3.8924], [3.8924, 3.8924, 0.0000]],
  "species": ["Rb", "Tl", "Tl", "Cd"],
  "fractional_positions": [[0.0000, 0.0000, 0.0000], [0.2500, 0.2500, 0.2500], [0.7500, 0.7500, 0.7500], [0.5000, 0.5000, 0.5000]]
}


4.
{
  "formula": "Zn3MoN4",
  "functional": "PBEsol",
  "state": "optimized geometry",
  "crystal_system": "orthorhombic",
  "raw_formation_energy_ev_per_atom": -0.309,
  "total_energy_ev_per_atom": -6.637,
  "vol_a3_per_atom": 11.98,
  "lattice": [[6.4707, 0.0000, 0.0000], [0.0000, 5.5985, 0.0000], [0.0000, 0.0000, 5.2905]],
  "species": ["Zn", "Zn", "Zn", "Zn", "Zn", "Zn", "Mo", "Mo", "N", "N", "N", "N", "N", "N", "N", "N"],
  "fractional_positions": [[0.0000, 0.1662, 0.0000], [0.2487, 0.3322, 0.4989], [0.2513, 0.6678, 0.9989], [0.5000, 0.8338, 0.5000], [0.7487, 0.6678, 0.9989], [0.7513, 0.3322, 0.4989], [0.0000, 0.8299, 0.5012], [0.5000, 0.1701, 0.0012], [0.0000, 0.1437, 0.6179], [0.0000, 0.8288, 0.1520], [0.2373, 0.6732, 0.6173], [0.2627, 0.3268, 0.1173], [0.5000, 0.1712, 0.6520], [0.5000, 0.8563, 0.1179], [0.7373, 0.3268, 0.1173], [0.7627, 0.6732, 0.6173]]
}


5.
{
  "formula": "Bi3MoCl",
  "functional": "PBEsol",
  "state": "optimized geometry",
  "crystal_system": "cubic",
  "raw_formation_energy_ev_per_atom": 1.245,
  "total_energy_ev_per_atom": -4.081,
  "vol_a3_per_atom": 29.86,
  "lattice": [[5.3050, 0.0000, 0.0000], [0.0000, 5.3050, 0.0000], [0.0000, 0.0000, 5.3050]],
  "species": ["Bi", "Bi", "Bi", "Mo", "Cl"],
  "fractional_positions": [[0.0000, 0.0000, 0.5000], [0.0000, 0.5000, 0.0000], [0.5000, 0.0000, 0.0000], [0.5000, 0.5000, 0.5000], [0.0000, 0.0000, 0.0000]]
}


6.
{
  "formula": "Al2ZnIn",
  "functional": "PBEsol",
  "state": "optimized geometry",
  "crystal_system": "tetragonal",
  "ef_kj_per_mol_atoms": 14,
  "total_energy_ev_per_atom": -3.045,
  "vol_a3_per_atom": 18.08,
  "lattice": [[-2.0916, 2.0916, 4.1319], [2.0916, -2.0916, 4.1319], [2.0916, 2.0916, -4.1319]],
  "species": ["Al", "Al", "Zn", "In"],
  "fractional_positions": [[0.2500, 0.7500, 0.5000], [0.7500, 0.2500, 0.5000], [0.0000, 0.0000, 0.0000], [0.5000, 0.5000, 0.0000]]
}


7.
{
  "formula": "TaTiO4",
  "functional": "PBEsol",
  "state": "optimized geometry",
  "crystal_system": "tetragonal",
  "raw_formation_energy_ev_per_atom": -2.881,
  "total_energy_ev_per_atom": -9.859,
  "vol_a3_per_atom": 11.16,
  "lattice": [[-3.3434, 3.3434, 2.9949], [3.3434, -3.3434, 2.9949], [3.3434, 3.3434, -2.9949]],
  "species": ["Ta", "Ta", "Ti", "Ti", "O", "O", "O", "O", "O", "O", "O", "O"],
  "fractional_positions": [[0.0000, 0.0000, 0.0000], [0.7500, 0.2500, 0.5000], [0.2410, 0.7410, 0.5000], [0.4910, 0.4910, 0.0000], [0.1916, 0.4915, 0.7001], [0.2415, 0.0413, 0.7999], [0.2415, 0.4416, 0.2001], [0.2962, 0.9957, 0.3005], [0.6952, 0.9957, 0.6995], [0.7457, 0.5462, 0.8005], [0.7457, 0.9452, 0.1995], [0.7913, 0.4915, 0.2999]]
}


8.
{
  "formula": "Li4Ga4P4O17F3",
  "functional": "PBEsol",
  "state": "optimized geometry",
  "crystal_system": "triclinic",
  "raw_formation_energy_ev_per_atom": -2.233,
  "total_energy_ev_per_atom": -6.589,
  "vol_a3_per_atom": 10.47,
  "lattice": [[6.7125, 0.0000, 0.0000], [-0.0900, 7.3737, 0.0000], [-0.1586, -3.3393, 6.7677]],
  "species": ["Li", "Li", "Li", "Li", "Ga", "Ga", "Ga", "Ga", "P", "P", "P", "P", "O", "O", "O", "O", "O", "O", "O", "O", "O", "O", "O", "O", "O", "O", "O", "O", "O", "F", "F", "F"],
  "fractional_positions": [[0.0000, 0.0000, 0.0000], [0.1687, 0.3980, 0.9138], [0.4635, 0.5560, 0.4411], [0.6661, 0.9047, 0.3973], [0.0781, 0.2298, 0.4344], [0.3160, 0.9857, 0.6743], [0.5642, 0.7223, 0.9194], [0.8196, 0.4725, 0.1714], [0.2148, 0.7600, 0.2150], [0.4281, 0.1874, 0.1313], [0.7148, 0.2602, 0.7185], [0.9192, 0.6954, 0.6236], [0.0488, 0.5157, 0.5909], [0.0489, 0.8768, 0.6427], [0.0851, 0.5817, 0.2061], [0.0914, 0.9424, 0.2346], [0.2152, 0.2116, 0.6475], [0.2660, 0.1267, 0.9627], [0.3177, 0.6667, 0.0135], [0.3268, 0.2821, 0.3346], [0.3714, 0.8177, 0.3880], [0.5533, 0.3684, 0.1394], [0.5539, 0.0062, 0.1051], [0.5788, 0.4361, 0.7418], [0.5908, 0.0761, 0.7037], [0.7599, 0.6408, 0.4526], [0.8157, 0.7732, 0.8254], [0.8208, 0.1739, 0.5178], [0.8719, 0.3298, 0.8911], [0.4182, 0.7499, 0.7052], [0.7155, 0.7033, 0.1369], [0.9260, 0.2477, 0.2100]]
}


9.
{
  "formula": "NbAgOs3",
  "functional": "PBEsol",
  "state": "optimized geometry",
  "crystal_system": "cubic",
  "ef_kj_per_mol_atoms": 278,
  "total_energy_ev_per_atom": -7.272,
  "vol_a3_per_atom": 19.43,
  "lattice": [[4.5974, 0.0000, 0.0000], [0.0000, 4.5974, 0.0000], [0.0000, 0.0000, 4.5974]],
  "species": ["Nb", "Ag", "Os", "Os", "Os"],
  "fractional_positions": [[0.0000, 0.0000, 0.0000], [0.5000, 0.5000, 0.5000], [0.0000, 0.5000, 0.5000], [0.5000, 0.0000, 0.5000], [0.5000, 0.5000, 0.0000]]
}


10.
{
  "formula": "FeAu2Se",
  "functional": "PBEsol",
  "state": "optimized geometry",
  "crystal_system": "monoclinic",
  "raw_formation_energy_ev_per_atom": 0.144,
  "total_energy_ev_per_atom": -5.021,
  "vol_a3_per_atom": 18.49,
  "lattice": [[4.3816, -1.4380, 0.0000], [4.3816, 1.4380, 0.0000], [-1.4884, 0.0000, 5.8683]],
  "species": ["Fe", "Au", "Au", "Se"],
  "fractional_positions": [[0.0000, 0.0000, 0.0000], [0.5233, 0.5233, 0.3914], [0.7506, 0.7506, 0.1540], [0.3804, 0.3804, 0.7125]]
}


11.
{
  "formula": "KY2As2",
  "functional": "PBEsol",
  "state": "optimized geometry",
  "crystal_system": "tetragonal",
  "ef_kj_per_mol_atoms": -81,
  "total_energy_ev_per_atom": -5.834,
  "vol_a3_per_atom": 33.50,
  "lattice": [[-2.4827, 2.4827, 6.7938], [2.4827, -2.4827, 6.7938], [2.4827, 2.4827, -6.7938]],
  "species": ["K", "Y", "Y", "As", "As"],
  "fractional_positions": [[0.0000, 0.0000, 0.0000], [0.2500, 0.7500, 0.5000], [0.7500, 0.2500, 0.5000], [0.3476, 0.3476, 0.0000], [0.6524, 0.6524, 0.0000]]
}


12.
{
  "formula": "Ta2Br",
  "functional": "PBEsol",
  "state": "optimized geometry",
  "crystal_system": "orthorhombic",
  "raw_formation_energy_ev_per_atom": 0.669,
  "total_energy_ev_per_atom": -8.322,
  "de_polymorph_ev_per_fu": 0.63,
  "vol_a3_per_atom": 18.25,
  "lattice": [[-1.4708, 2.2159, 4.1993], [1.4708, -2.2159, 4.1993], [1.4708, 2.2159, -4.1993]],
  "species": ["Ta", "Ta", "Br"],
  "fractional_positions": [[0.1718, 0.1718, 0.0000], [0.8282, 0.8282, 0.0000], [0.5000, 0.5000, 0.0000]]
}


13.
{
  "formula": "ScMnN2",
  "functional": "PBEsol",
  "state": "optimized geometry",
  "crystal_system": "tetragonal",
  "raw_formation_energy_ev_per_atom": -0.970,
  "total_energy_ev_per_atom": -9.325,
  "vol_a3_per_atom": 11.42,
  "lattice": [[-2.2191, 2.2191, 4.6398], [2.2191, -2.2191, 4.6398], [2.2191, 2.2191, -4.6398]],
  "species": ["Sc", "Sc", "Mn", "Mn", "N", "N", "N", "N"],
  "fractional_positions": [[0.0000, 0.0000, 0.0000], [0.7500, 0.2500, 0.5000], [0.2500, 0.7500, 0.5000], [0.5000, 0.5000, 0.0000], [0.1827, 0.6250, 0.0577], [0.3750, 0.4327, 0.5577], [0.5673, 0.1250, 0.9423], [0.8750, 0.8173, 0.4423]]
}


14.
{
  "formula": "BeSbPtI2",
  "functional": "PBEsol",
  "state": "optimized geometry",
  "crystal_system": "tetragonal",
  "raw_formation_energy_ev_per_atom": 0.835,
  "total_energy_ev_per_atom": -2.976,
  "vol_a3_per_atom": 23.53,
  "lattice": [[4.9176, 0.0000, 0.0000], [0.0000, 4.9176, 0.0000], [0.0000, 0.0000, 4.8649]],
  "species": ["Be", "Sb", "Pt", "I", "I"],
  "fractional_positions": [[0.0000, 0.0000, 0.0000], [0.0000, 0.0000, 0.5000], [0.5000, 0.5000, 0.5000], [0.0000, 0.5000, 0.0000], [0.5000, 0.0000, 0.0000]]
}


15.
{
  "formula": "SrCo2CuAs",
  "functional": "PBEsol",
  "state": "optimized geometry",
  "crystal_system": "tetragonal",
  "ef_kj_per_mol_atoms": 211,
  "total_energy_ev_per_atom": -3.161,
  "vol_a3_per_atom": 22.53,
  "lattice": [[4.5542, 0.0000, 0.0000], [0.0000, 4.5542, 0.0000], [0.0000, 0.0000, 5.4325]],
  "species": ["Sr", "Co", "Co", "Cu", "As"],
  "fractional_positions": [[0.0000, 0.0000, 0.0000], [0.0000, 0.5000, 0.0000], [0.5000, 0.0000, 0.0000], [0.5000, 0.5000, 0.5000], [0.0000, 0.0000, 0.5000]]
}


16.
{
  "formula": "InAsPt",
  "functional": "PBEsol",
  "state": "optimized geometry",
  "crystal_system": "cubic",
  "ef_kj_per_mol_atoms": 11,
  "total_energy_ev_per_atom": -4.905,
  "vol_a3_per_atom": 20.25,
  "lattice": [[0.0000, 3.1202, 3.1202], [3.1202, 0.0000, 3.1202], [3.1202, 3.1202, 0.0000]],
  "species": ["In", "As", "Pt"],
  "fractional_positions": [[0.0000, 0.0000, 0.0000], [0.7500, 0.7500, 0.7500], [0.5000, 0.5000, 0.5000]]
}


17.
{
  "formula": "Mg2Ti2In",
  "functional": "PBEsol",
  "state": "optimized geometry",
  "crystal_system": "tetragonal",
  "ef_kj_per_mol_atoms": 33,
  "total_energy_ev_per_atom": -4.271,
  "vol_a3_per_atom": 21.37,
  "lattice": [[-1.8048, 1.8048, 8.1997], [1.8048, -1.8048, 8.1997], [1.8048, 1.8048, -8.1997]],
  "species": ["Mg", "Mg", "Ti", "Ti", "In"],
  "fractional_positions": [[0.1008, 0.1008, 0.0000], [0.8992, 0.8992, 0.0000], [0.2500, 0.7500, 0.5000], [0.7500, 0.2500, 0.5000], [0.5000, 0.5000, 0.0000]]
}


18.
{
  "formula": "YPb2Se2",
  "functional": "PBEsol",
  "state": "optimized geometry",
  "crystal_system": "tetragonal",
  "raw_formation_energy_ev_per_atom": -0.472,
  "total_energy_ev_per_atom": -4.976,
  "vol_a3_per_atom": 27.47,
  "lattice": [[-2.0337, 2.0337, 8.3031], [2.0337, -2.0337, 8.3031], [2.0337, 2.0337, -8.3031]],
  "species": ["Y", "Pb", "Pb", "Se", "Se"],
  "fractional_positions": [[0.0000, 0.0000, 0.0000], [0.2500, 0.7500, 0.5000], [0.7500, 0.2500, 0.5000], [0.4111, 0.4111, 0.0000], [0.5889, 0.5889, 0.0000]]
}


19.
{
  "formula": "TaReB2Ir",
  "functional": "PBEsol",
  "state": "optimized geometry",
  "crystal_system": "tetragonal",
  "ef_kj_per_mol_atoms": 126,
  "total_energy_ev_per_atom": -8.641,
  "vol_a3_per_atom": 15.30,
  "lattice": [[3.9661, 0.0000, 0.0000], [0.0000, 3.9661, 0.0000], [0.0000, 0.0000, 4.8642]],
  "species": ["Ta", "Re", "B", "B", "Ir"],
  "fractional_positions": [[0.0000, 0.0000, 0.0000], [0.5000, 0.5000, 0.5000], [0.0000, 0.5000, 0.5000], [0.5000, 0.0000, 0.5000], [0.5000, 0.5000, 0.0000]]
}


20.
{
  "formula": "Fe2PClO4",
  "functional": "PBEsol",
  "state": "optimized geometry",
  "crystal_system": "monoclinic",
  "raw_formation_energy_ev_per_atom": -1.467,
  "total_energy_ev_per_atom": -7.307,
  "vol_a3_per_atom": 13.01,
  "lattice": [[6.6403, -4.5733, 0.0000], [6.6403, 4.5733, 0.0000], [-6.2708, 0.0000, 6.8530]],
  "species": ["Fe", "Fe", "Fe", "Fe", "Fe", "Fe", "Fe", "Fe", "P", "P", "P", "P", "Cl", "Cl", "Cl", "Cl", "O", "O", "O", "O", "O", "O", "O", "O", "O", "O", "O", "O", "O", "O", "O", "O"],
  "fractional_positions": [[0.0000, 0.0000, 0.0000], [0.0000, 0.0000, 0.5000], [0.0886, 0.5756, 0.8344], [0.2533, 0.7467, 0.7500], [0.4244, 0.9114, 0.6656], [0.5756, 0.0886, 0.3344], [0.7467, 0.2533, 0.2500], [0.9114, 0.4244, 0.1656], [0.2376, 0.2466, 0.4923], [0.2466, 0.2376, 0.9923], [0.7534, 0.7624, 0.0077], [0.7624, 0.7534, 0.5077], [0.1713, 0.6602, 0.4191], [0.3398, 0.8287, 0.0809], [0.6602, 0.1713, 0.9191], [0.8287, 0.3398, 0.5809], [0.0426, 0.2209, 0.2934], [0.0836, 0.2315, 0.0293], [0.2209, 0.0426, 0.7934], [0.2214, 0.4559, 0.6581], [0.2253, 0.4225, 0.9786], [0.2315, 0.0836, 0.5293], [0.4225, 0.2253, 0.4786], [0.4559, 0.2214, 0.1581], [0.5441, 0.7786, 0.8419], [0.5775, 0.7747, 0.5214], [0.7685, 0.9164, 0.4707], [0.7747, 0.5775, 0.0214], [0.7786, 0.5441, 0.3419], [0.7791, 0.9574, 0.2066], [0.9164, 0.7685, 0.9707], [0.9574, 0.7791, 0.7066]]
}